Record 1
DFT (GGA-PBE) results for Zr2AsAu after structural relaxation.

## Properties
VASP energy = -6.917 eV/atom
Formation energy = -660.8 meV/atom
Spin magnetization = 0.00 μB per cell

Cell: 3.129 3.689 6.975 Å, 90.00 98.60 90.00°
Fractional positions:
Zr: 0.084 0.000 0.262
Zr: 0.916 0.000 0.738
As: 0.500 0.500 0.500
Au: 0.500 0.500 0.000



Record 2
DFT (GGA-PBE) results for ZrAs2Au2 after structural relaxation.

## Properties
VASP energy = -5.066 eV/atom
Formation energy = -185.2 meV/atom
Spin magnetization = 0.00 μB per cell

Cell: 7.294 7.294 3.655 Å, 90.00 90.00 90.00°
Fractional positions:
Zr: 0.000 0.000 0.000
Zr: 0.500 0.500 0.000
As: 0.160 0.340 0.000
As: 0.340 0.840 0.000
As: 0.660 0.160 0.000
As: 0.840 0.660 0.000
Au: 0.146 0.646 0.500
Au: 0.354 0.146 0.500
Au: 0.646 0.854 0.500
Au: 0.854 0.354 0.500



Record 3
DFT (GGA-PBE) results for ZrAsAu2 after structural relaxation.

## Properties
VASP energy = -5.399 eV/atom
Formation energy = -461.4 meV/atom
Spin magnetization = 0.00 μB per cell

Cell: 3.718 6.116 6.116 Å, 34.16 90.00 90.00°
Fractional positions:
Zr: 0.000 0.000 0.000
As: 0.500 0.576 0.576
Au: 0.000 0.744 0.744
Au: 0.500 0.343 0.343



Record 4
DFT (GGA-PBE) results for ZrAs2Au2 after structural relaxation.

## Properties
VASP energy = -4.848 eV/atom
Formation energy = 31.9 meV/atom
Spin magnetization = 0.36 μB per cell

Cell: 8.061 8.061 8.061 Å, 153.50 153.50 37.83°
Fractional positions:
Zr: 0.000 0.000 0.000
As: 0.250 0.750 0.500
As: 0.750 0.250 0.500
Au: 0.403 0.403 0.000
Au: 0.597 0.597 0.000



Record 5
DFT (GGA-PBE) results for ZrAsAu2 after structural relaxation.

## Properties
VASP energy = -5.276 eV/atom
Formation energy = -337.9 meV/atom
Spin magnetization = 0.00 μB per cell

Cell: 3.117 4.638 5.492 Å, 90.00 105.15 90.00°
Fractional positions:
Zr: 0.000 0.000 0.000
As: 0.500 0.000 0.500
Au: 0.376 0.500 0.742
Au: 0.624 0.500 0.258



Record 6
DFT (GGA-PBE) results for ZrAsAu2 after structural relaxation.

## Properties
VASP energy = -5.221 eV/atom
Formation energy = -282.7 meV/atom
Spin magnetization = 0.00 μB per cell

Cell: 6.076 6.076 2.996 Å, 103.78 103.78 125.28°
Fractional positions:
Zr: 0.000 0.000 0.000
As: 0.500 0.500 0.000
Au: 0.000 0.500 0.500
Au: 0.500 0.000 0.500



Record 7
DFT (GGA-PBE) results for Zr2AsAu after structural relaxation.

## Properties
VASP energy = -6.883 eV/atom
Formation energy = -627.2 meV/atom
Spin magnetization = 0.00 μB per cell

Cell: 3.800 3.800 5.728 Å, 90.00 90.00 90.00°
Fractional positions:
Zr: 0.000 0.000 0.000
Zr: 0.500 0.500 0.341
As: 0.000 0.000 0.495
Au: 0.500 0.500 0.826



Record 8
DFT (GGA-PBE) results for ZrAsAu2 after structural relaxation.

## Properties
VASP energy = -5.242 eV/atom
Formation energy = -304.3 meV/atom
Spin magnetization = 0.00 μB per cell

Cell: 4.748 4.748 4.748 Å, 119.85 119.85 90.25°
Fractional positions:
Zr: 0.000 0.000 0.000
As: 0.250 0.750 0.500
Au: 0.500 0.500 0.000
Au: 0.750 0.250 0.500



Record 9
DFT (GGA-PBE) results for ZrAsAu2 after structural relaxation.

## Properties
VASP energy = -5.350 eV/atom
Formation energy = -411.7 meV/atom
Spin magnetization = 0.00 μB per cell

Cell: 5.514 5.514 5.514 Å, 137.44 137.44 61.76°
Fractional positions:
Zr: 0.000 0.000 0.000
As: 0.500 0.500 0.000
Au: 0.250 0.750 0.500
Au: 0.750 0.250 0.500



Record 10
DFT (GGA-PBE) results for ZrAsAu2 after structural relaxation.

## Properties
VASP energy = -5.377 eV/atom
Formation energy = -438.8 meV/atom
Spin magnetization = 0.00 μB per cell

Cell: 3.954 3.954 4.865 Å, 90.00 90.00 90.00°
Fractional positions:
Zr: 0.000 0.000 0.000
As: 0.500 0.500 0.000
Au: 0.000 0.500 0.500
Au: 0.500 0.000 0.500



Record 11
DFT (GGA-PBE) results for Zr4AsAu after structural relaxation.

## Properties
VASP energy = -7.632 eV/atom
Formation energy = -611.8 meV/atom
Spin magnetization = 0.00 μB per cell

Cell: 6.680 6.680 5.581 Å, 90.00 90.00 90.00°
Fractional positions:
Zr: 0.150 0.341 0.000
Zr: 0.150 0.659 0.500
Zr: 0.341 0.150 0.500
Zr: 0.341 0.850 0.000
Zr: 0.659 0.150 0.000
Zr: 0.659 0.850 0.500
Zr: 0.850 0.341 0.500
Zr: 0.850 0.659 0.000
As: 0.000 0.000 0.250
As: 0.000 0.000 0.750
Au: 0.500 0.500 0.250
Au: 0.500 0.500 0.750



Record 12
DFT (GGA-PBE) results for BAs4 after structural relaxation.

## Properties
VASP energy = -4.268 eV/atom
Formation energy = 787.1 meV/atom
Spin magnetization = 0.00 μB per cell

Cell: 4.432 4.432 4.432 Å, 90.00 90.00 90.00°
Fractional positions:
B: 0.000 0.000 0.000
As: 0.000 0.000 0.500
As: 0.000 0.500 0.000
As: 0.500 0.000 0.000
As: 0.500 0.500 0.500



Record 13
DFT (GGA-PBE) results for BaBAs after structural relaxation.

## Properties
VASP energy = -4.927 eV/atom
Formation energy = -510.2 meV/atom
Spin magnetization = 0.00 μB per cell

Cell: 7.726 7.726 7.726 Å, 146.26 142.25 51.52°
Fractional positions:
Ba: 0.139 0.139 0.000
Ba: 0.861 0.861 0.000
B: 0.500 0.179 0.679
B: 0.500 0.821 0.321
As: 0.388 0.388 0.000
As: 0.612 0.612 0.000



Record 14
DFT (GGA-PBE) results for Ba2BAs after structural relaxation.

## Properties
VASP energy = -3.323 eV/atom
Formation energy = 470.4 meV/atom
Spin magnetization = 4.00 μB per cell

Cell: 9.476 9.476 9.476 Å, 139.83 139.83 58.11°
Fractional positions:
Ba: 0.108 0.625 0.983
Ba: 0.375 0.358 0.483
Ba: 0.642 0.125 0.017
Ba: 0.875 0.892 0.517
B: 0.000 0.000 0.000
B: 0.750 0.250 0.500
As: 0.250 0.750 0.500
As: 0.500 0.500 0.000



Record 15
DFT (GGA-PBE) results for Ba3BAs after structural relaxation.

## Properties
VASP energy = -3.395 eV/atom
Formation energy = 23.9 meV/atom
Spin magnetization = 0.00 μB per cell

Cell: 5.698 5.698 5.698 Å, 90.00 90.00 90.00°
Fractional positions:
Ba: 0.000 0.000 0.500
Ba: 0.000 0.500 0.000
Ba: 0.500 0.000 0.000
B: 0.000 0.000 0.000
As: 0.500 0.500 0.500



Record 16
DFT (GGA-PBE) results for BaBAs3 after structural relaxation.

## Properties
VASP energy = -2.474 eV/atom
Formation energy = 2035.5 meV/atom
Spin magnetization = 0.00 μB per cell

Cell: 5.854 5.854 5.854 Å, 90.00 90.00 90.00°
Fractional positions:
Ba: 0.000 0.000 0.000
B: 0.500 0.500 0.500
As: 0.000 0.000 0.500
As: 0.000 0.500 0.000
As: 0.500 0.000 0.000



Record 17
DFT (GGA-PBE) results for BaB3As after structural relaxation.

## Properties
VASP energy = -2.393 eV/atom
Formation energy = 2927.4 meV/atom
Spin magnetization = 0.00 μB per cell

Cell: 4.963 4.963 4.963 Å, 90.00 90.00 90.00°
Fractional positions:
Ba: 0.000 0.000 0.000
B: 0.000 0.000 0.500
B: 0.000 0.500 0.000
B: 0.500 0.000 0.000
As: 0.500 0.500 0.500



Record 18
DFT (GGA-PBE) results for BaB3As after structural relaxation.

## Properties
VASP energy = -3.973 eV/atom
Formation energy = 1347.8 meV/atom
Spin magnetization = 0.00 μB per cell

Cell: 4.402 4.402 4.402 Å, 90.00 90.00 90.00°
Fractional positions:
Ba: 0.000 0.000 0.000
B: 0.000 0.500 0.500
B: 0.500 0.000 0.500
B: 0.500 0.500 0.000
As: 0.500 0.500 0.500



Record 19
DFT (GGA-PBE) results for BaBAs2 after structural relaxation.

## Properties
VASP energy = -4.739 eV/atom
Formation energy = -263.8 meV/atom
Spin magnetization = 0.00 μB per cell

Cell: 6.207 6.207 6.207 Å, 110.83 110.83 106.79°
Fractional positions:
Ba: 0.000 0.000 0.000
Ba: 0.750 0.250 0.500
B: 0.250 0.750 0.500
B: 0.500 0.500 0.000
As: 0.251 0.625 0.126
As: 0.375 0.501 0.626
As: 0.499 0.125 0.874
As: 0.875 0.749 0.374



Record 20
DFT (GGA-PBE) results for Ba4BAs4 after structural relaxation.

## Properties
VASP energy = -4.437 eV/atom
Formation energy = -773.6 meV/atom
Spin magnetization = 0.00 μB per cell

Cell: 9.290 9.290 6.692 Å, 90.00 90.00 90.00°
Fractional positions:
Ba: 0.014 0.250 0.059
Ba: 0.250 0.014 0.559
Ba: 0.250 0.486 0.559
Ba: 0.486 0.250 0.059
Ba: 0.514 0.750 0.941
Ba: 0.750 0.514 0.441
Ba: 0.750 0.986 0.441
Ba: 0.986 0.750 0.941
B: 0.250 0.750 0.250
B: 0.750 0.250 0.750
As: 0.044 0.750 0.428
As: 0.250 0.544 0.072
As: 0.250 0.956 0.072
As: 0.456 0.750 0.428
As: 0.544 0.250 0.572
As: 0.750 0.044 0.928
As: 0.750 0.456 0.928
As: 0.956 0.250 0.572



Record 21
DFT (GGA-PBE) results for BaBAs3 after structural relaxation.

## Properties
VASP energy = -4.306 eV/atom
Formation energy = 204.1 meV/atom
Spin magnetization = 0.00 μB per cell

Cell: 4.755 4.755 4.755 Å, 90.00 90.00 90.00°
Fractional positions:
Ba: 0.000 0.000 0.000
B: 0.500 0.500 0.500
As: 0.000 0.500 0.500
As: 0.500 0.000 0.500
As: 0.500 0.500 0.000



Record 22
DFT (GGA-PBE) results for Ba2BAs after structural relaxation.

## Properties
VASP energy = -3.633 eV/atom
Formation energy = 160.5 meV/atom
Spin magnetization = 1.90 μB per cell

Cell: 5.562 5.562 5.562 Å, 60.00 60.00 60.00°
Fractional positions:
Ba: 0.250 0.250 0.250
Ba: 0.750 0.750 0.750
B: 0.000 0.000 0.000
As: 0.500 0.500 0.500



Record 23
DFT (GGA-PBE) results for BaBAsBr2 after structural relaxation.

## Properties
Formation energy without anion corrections = 0.606 eV/atom
VASP energy = -2.713 eV/atom
Spin magnetization = 2.00 μB per cell

Cell: 6.266 6.266 6.685 Å, 90.00 90.00 90.00°
Fractional positions:
Ba: 0.000 0.000 0.000
B: 0.500 0.500 0.500
As: 0.000 0.000 0.500
Br: 0.000 0.500 0.000
Br: 0.500 0.000 0.000



Record 24
DFT (GGA-PBE) results for BaBAsBr2 after structural relaxation.

## Properties
Formation energy without anion corrections = -0.282 eV/atom
VASP energy = -3.601 eV/atom
Spin magnetization = 0.00 μB per cell

Cell: 5.508 5.508 4.263 Å, 90.00 90.00 90.00°
Fractional positions:
Ba: 0.000 0.000 0.000
B: 0.500 0.500 0.500
As: 0.500 0.500 0.000
Br: 0.000 0.500 0.500
Br: 0.500 0.000 0.500



Record 25
DFT (GGA-PBE) results for BaCdB2As after structural relaxation.

## Properties
VASP energy = -2.030 eV/atom
Formation energy = 2138.5 meV/atom
Spin magnetization = 0.00 μB per cell

Cell: 4.992 4.992 6.025 Å, 90.00 90.00 90.00°
Fractional positions:
Ba: 0.000 0.000 0.000
Cd: 0.500 0.500 0.500
B: 0.000 0.500 0.000
B: 0.500 0.000 0.000
As: 0.000 0.000 0.500



Record 26
DFT (GGA-PBE) results for BaCdBAs2 after structural relaxation.

## Properties
VASP energy = -1.999 eV/atom
Formation energy = 1763.9 meV/atom
Spin magnetization = 0.47 μB per cell

Cell: 5.896 5.896 6.457 Å, 90.00 90.00 90.00°
Fractional positions:
Ba: 0.000 0.000 0.000
Cd: 0.000 0.000 0.500
B: 0.500 0.500 0.500
As: 0.000 0.500 0.000
As: 0.500 0.000 0.000